No. 1
Density functional theory data (PBE) for an optimized crystal structure of Co2CuSn.

Output
space group	I-42d, No. 122
energy of formation from the pure elements	1.7	eV/f.u.

a b c (Å): 3.7342 3.7342 9.2123
angles (deg): 78.31 78.31 90.00
Positions (direct):
1 Co 0.5544 0.1250 0.2500
2 Co 0.1956 0.6250 0.2500
3 Co 0.3750 0.4456 0.7500
4 Co 0.8750 0.8044 0.7500
5 Sn 0.0000 0.0000 0.0000
6 Sn 0.7500 0.2500 0.5000
7 Cu 0.5000 0.5000 0.0000
8 Cu 0.2500 0.7500 0.5000

No. 2
Density functional theory data (PBE) for an optimized crystal structure of AlWN3.

Output
energy relative to the elements, uncorrected	0.967	eV per atom
space group	Pm-3m, No. 221

a b c (Å): 3.6308 3.6308 3.6308
angles (deg): 90.00 90.00 90.00
Positions (direct):
1 Al 0.0000 0.0000 0.0000
2 W 0.5000 0.5000 0.5000
3 N 0.0000 0.5000 0.0000
4 N 0.0000 0.0000 0.5000
5 N 0.5000 0.0000 0.0000

No. 3
Density functional theory data (PBE) for an optimized crystal structure of ScTc2Ru.

Output
space group	P4mm, No. 99
energy of formation from the pure elements	-0.5	eV/f.u.

a b c (Å): 3.1036 3.1036 6.4668
angles (deg): 90.00 90.00 90.00
Positions (direct):
1 Ru 0.0000 0.0000 0.4964
2 Sc 0.5000 0.5000 0.7451
3 Tc 0.0000 0.0000 0.0170
4 Tc 0.5000 0.5000 0.2415

No. 4
Density functional theory data (PBE) for an optimized crystal structure of Rb3NbFe.

Output
space group	Pm-3m, No. 221
energy of formation from the pure elements	8.7	eV/f.u.

a b c (Å): 6.7173 6.7173 6.7173
angles (deg): 90.00 90.00 90.00
Positions (direct):
1 Nb 0.5000 0.5000 0.5000
2 Fe 0.0000 0.0000 0.0000
3 Rb 0.0000 0.5000 0.0000
4 Rb 0.0000 0.0000 0.5000
5 Rb 0.5000 0.0000 0.0000

No. 5
Density functional theory data (PBE) for an optimized crystal structure of TbIn2Ni9.

Output
space group	R-3m, No. 166
energy of formation from the pure elements	-2.5	eV/f.u.

a b c (Å): 4.9187 4.9187 8.3894
angles (deg): 72.95 72.95 60.00
Positions (direct):
1 Tb 0.0000 0.0000 0.0000
2 In 0.8597 0.8597 0.4208
3 In 0.1403 0.1403 0.5792
4 Ni 0.6662 0.6662 0.0015
5 Ni 0.3338 0.3338 0.9985
6 Ni 0.5000 0.5000 0.5000
7 Ni 0.4147 0.4147 0.2515
8 Ni 0.9191 0.4147 0.2515
9 Ni 0.4147 0.9191 0.2515
10 Ni 0.5853 0.5853 0.7485
11 Ni 0.5853 0.0809 0.7485
12 Ni 0.0809 0.5853 0.7485

No. 6
Density functional theory data (PBE) for an optimized crystal structure of Pr2DyTl3.

Output
space group	P4/mmm, No. 123
energy of formation from the pure elements	-2.3	eV/f.u.

a b c (Å): 3.8509 3.8509 11.8910
angles (deg): 90.00 90.00 90.00
Positions (direct):
1 Pr 0.5000 0.5000 0.8275
2 Pr 0.5000 0.5000 0.1725
3 Dy 0.5000 0.5000 0.5000
4 Tl 0.0000 0.0000 0.0000
5 Tl 0.0000 0.0000 0.6541
6 Tl 0.0000 0.0000 0.3459

No. 7
Density functional theory data (PBE) for an optimized crystal structure of Sr4CdBr.

Output
energy relative to the elements, uncorrected	0.088	eV per atom
space group	F-43m, No. 216

a b c (Å): 7.5743 7.5743 7.5743
angles (deg): 60.00 60.00 60.00
Positions (direct):
1 Sr 0.8772 0.3743 0.3743
2 Sr 0.3743 0.3743 0.8772
3 Sr 0.3743 0.8772 0.3743
4 Sr 0.3743 0.3743 0.3743
5 Cd 0.0000 0.0000 0.0000
6 Br 0.7500 0.7500 0.7500

No. 8
Density functional theory data (PBE) for an optimized crystal structure of Tm3Pb.

Output
space group	Pm-3m, No. 221
energy of formation from the pure elements	-1.0	eV/f.u.

a b c (Å): 4.8030 4.8030 4.8030
angles (deg): 90.00 90.00 90.00
Positions (direct):
1 Pb 0.0000 0.0000 0.0000
2 Tm 0.0000 0.5000 0.5000
3 Tm 0.5000 0.5000 0.0000
4 Tm 0.5000 0.0000 0.5000

No. 9
Density functional theory data (PBE) for an optimized crystal structure of CaPmTe.

Output
energy relative to the elements, uncorrected	-0.630	eV per atom
space group	Immm, No. 71

a b c (Å): 5.8461 3.9880 9.6628
angles (deg): 101.91 107.61 90.00
Positions (direct):
1 Ca 0.6684 0.1684 0.3368
2 Ca 0.3316 0.8316 0.6632
3 Pm 0.7501 0.5000 0.0000
4 Pm 0.2499 0.5000 0.0000
5 Te 0.1596 0.6596 0.3192
6 Te 0.8404 0.3404 0.6808

No. 10
Density functional theory data (PBE) for an optimized crystal structure of InSiPb2.

Output
energy relative to the elements, uncorrected	0.327	eV per atom
space group	C2/m, No. 12

a b c (Å): 7.7866 5.6741 3.4497
angles (deg): 90.48 62.92 123.21
Positions (direct):
1 In 0.5000 0.5000 0.0000
2 Pb 0.0000 0.0000 0.0000
3 Pb 0.5000 0.0000 0.5000
4 Si 0.0000 0.5000 0.5000

No. 11
Density functional theory data (PBE) for an optimized crystal structure of KYAu2.

Output
space group	I-4m2, No. 119
energy of formation from the pure elements	-0.9	eV/f.u.

a b c (Å): 6.0140 6.0140 6.0140
angles (deg): 137.15 137.15 62.21
Positions (direct):
1 Au 0.0000 0.0000 0.0000
2 Au 0.2500 0.7500 0.5000
3 K 0.5000 0.5000 0.0000
4 Y 0.7500 0.2500 0.5000

No. 12
Density functional theory data (PBE) for an optimized crystal structure of Be2SiNi2.

Output
energy relative to the elements, uncorrected	-0.303	eV per atom
space group	P4/mbm, No. 127

a b c (Å): 5.9602 5.9602 2.7266
angles (deg): 90.00 90.00 90.00
Positions (direct):
1 Ni 0.1688 0.6688 0.5000
2 Ni 0.6688 0.8312 0.5000
3 Ni 0.8312 0.3312 0.5000
4 Ni 0.3312 0.1688 0.5000
5 Si 0.0000 0.0000 0.0000
6 Si 0.5000 0.5000 0.0000
7 Be 0.3757 0.8757 0.0000
8 Be 0.8757 0.6243 0.0000
9 Be 0.6243 0.1243 0.0000
10 Be 0.1243 0.3757 0.0000

No. 13
Density functional theory data (PBE) for an optimized crystal structure of PmSm5YHo2.

Output
space group	Cmc2_1, No. 36
energy of formation from the pure elements	1.4	eV/f.u.

a b c (Å): 5.6522 10.5490 10.6535
angles (deg): 90.00 90.00 105.54
Positions (direct):
1 Pm 0.7992 0.5984 0.5110
2 Pm 0.2008 0.4016 0.0110
3 Sm 0.3914 0.7828 0.0251
4 Sm 0.7201 0.4402 0.8090
5 Sm 0.4791 0.9581 0.7411
6 Sm 0.2985 0.5969 0.7062
7 Sm 0.9838 0.9677 0.5222
8 Sm 0.6086 0.2172 0.5251
9 Sm 0.2799 0.5598 0.3090
10 Sm 0.5209 0.0419 0.2411
11 Sm 0.7015 0.4031 0.2062
12 Sm 0.0162 0.0323 0.0222
13 Y 0.5894 0.1787 0.9556
14 Y 0.4106 0.8213 0.4556
15 Ho 0.8848 0.7696 0.8173
16 Ho 0.1111 0.2222 0.7365
17 Ho 0.1152 0.2304 0.3173
18 Ho 0.8889 0.7778 0.2365

No. 14
Density functional theory data (PBE) for an optimized crystal structure of K2TlSe2.

Output
energy relative to the elements, uncorrected	-0.637	eV per atom
space group	P4/mbm, No. 127

a b c (Å): 9.4071 9.4071 3.4901
angles (deg): 90.00 90.00 90.00
Positions (direct):
1 Tl 0.0000 0.0000 0.0000
2 Tl 0.5000 0.5000 0.0000
3 K 0.3763 0.8763 0.0000
4 K 0.8763 0.6237 0.0000
5 K 0.6237 0.1237 0.0000
6 K 0.1237 0.3763 0.0000
7 Se 0.1756 0.6756 0.5000
8 Se 0.6756 0.8244 0.5000
9 Se 0.8244 0.3244 0.5000
10 Se 0.3244 0.1756 0.5000

No. 15
Density functional theory data (PBE) for an optimized crystal structure of Mn2RuSe.

Output
energy relative to the elements, uncorrected	0.219	eV per atom
space group	Imm2, No. 44

a b c (Å): 5.3316 5.3316 5.3316
angles (deg): 145.84 133.93 58.58
Positions (direct):
1 Mn 0.0099 0.0099 0.0000
2 Mn 0.7313 0.2313 0.5000
3 Ru 0.4852 0.4852 0.0000
4 Se 0.2736 0.7736 0.5000

No. 16
Density functional theory data (PBE) for an optimized crystal structure of Na2CaCl.

Output
energy relative to the elements, uncorrected	-0.654	eV per atom
space group	I-42d, No. 122

a b c (Å): 9.8264 9.8264 7.4991
angles (deg): 49.07 49.07 90.00
Positions (direct):
1 Na 0.5394 0.1250 0.2500
2 Na 0.2106 0.6250 0.2500
3 Na 0.3750 0.4606 0.7500
4 Na 0.8750 0.7894 0.7500
5 Ca 0.0000 0.0000 0.0000
6 Ca 0.7500 0.2500 0.5000
7 Cl 0.5000 0.5000 0.0000
8 Cl 0.2500 0.7500 0.5000

No. 17
Density functional theory data (PBE) for an optimized crystal structure of BaMo3Pd.

Output
space group	Pm-3m, No. 221
energy of formation from the pure elements	15.3	eV/f.u.

a b c (Å): 4.8972 4.8972 4.8972
angles (deg): 90.00 90.00 90.00
Positions (direct):
1 Mo 0.0000 0.5000 0.0000
2 Mo 0.0000 0.0000 0.5000
3 Mo 0.5000 0.0000 0.0000
4 Ba 0.0000 0.0000 0.0000
5 Pd 0.5000 0.5000 0.5000

No. 18
Density functional theory data (PBE) for an optimized crystal structure of InGeO3.

Output
energy relative to the elements, uncorrected	-0.464	eV per atom
space group	Pm-3m, No. 221

a b c (Å): 4.0982 4.0982 4.0982
angles (deg): 90.00 90.00 90.00
Positions (direct):
1 Ge 0.5000 0.5000 0.5000
2 O 0.0000 0.5000 0.0000
3 O 0.0000 0.0000 0.5000
4 O 0.5000 0.0000 0.0000
5 In 0.0000 0.0000 0.0000

No. 19
Density functional theory data (PBE) for an optimized crystal structure of CaPm2Rh.

Output
space group	R3m, No. 160
energy of formation from the pure elements	-1.4	eV/f.u.

a b c (Å): 4.0880 4.0880 9.6874
angles (deg): 77.82 77.82 60.00
Positions (direct):
1 Ca 0.5013 0.5013 0.4960
2 Pm 0.0538 0.0538 0.8384
3 Pm 0.2787 0.2787 0.1639
4 Rh 0.6661 0.6661 0.0017

| no. | total energy (eV per atom) |
| --- | --- |
| 1 | -5.143 |
| 2 | -7.367 |
| 3 | -9.201 |
| 4 | -2.538 |
| 5 | -5.388 |
| 6 | -3.926 |
| 7 | -1.465 |
| 8 | -4.521 |
| 9 | -3.928 |
| 10 | -3.568 |
| 11 | -3.742 |
| 12 | -5.191 |
| 13 | -4.732 |
| 14 | -2.943 |
| 15 | -7.556 |
| 16 | -2.276 |
| 17 | -4.870 |
| 18 | -4.910 |
| 19 | -5.062 |